# 1
The following is a SCAN calculation of Zn at its PBEsol-relaxed geometry, from Alexandria.

Cell lengths 2.6055, 2.6055, 4.8175 Å; angles 90.00, 90.00, 120.00 degrees
Positions (direct):
Zn  0.6667  0.3333  0.2500
Zn  0.3333  0.6667  0.7500

Summary:
- total energy (eV per formula unit) = -13.52
- symmetry = P6_3/mmc
- crystal system = hexagonal
- D(E_F) (states/eV/f.u.) = 0.3
- relative energy among the computed polymorphs (eV per atom) = 0.000
- DFT formation energy (meV per atom) = 0
- total moment (μB/cell) = 0.00

# 2
The following is a SCAN calculation of HfNbP2O at its PBEsol-relaxed geometry, from Alexandria.

Cell lengths 3.7586, 4.8578, 4.8578 Å; angles 90.00, 90.00, 90.00 degrees
Positions (direct):
P  0.0000  0.5000  0.0000
P  0.0000  0.0000  0.5000
Hf  0.5000  0.5000  0.5000
Nb  0.0000  0.0000  0.0000
O  0.5000  0.0000  0.0000

Summary:
- total energy (eV per formula unit) = -125.99
- symmetry = P4/mmm
- crystal system = tetragonal
- D(E_F) (states/eV/f.u.) = 2.2
- relative energy among the computed polymorphs (eV per atom) = 0.000
- total moment (μB/cell) = 0.00

# 3
The following is a SCAN calculation of Sc2SbOs at its PBEsol-relaxed geometry, from Alexandria.

Cell lengths 4.6508, 4.6508, 4.6508 Å; angles 60.00, 60.00, 60.00 degrees
Positions (direct):
Sc  0.0000  0.0000  0.0000
Sc  0.7500  0.7500  0.7500
Sb  0.2500  0.2500  0.2500
Os  0.5000  0.5000  0.5000

Summary:
- total energy (eV per formula unit) = -139.18
- symmetry = F-43m
- crystal system = cubic
- D(E_F) (states/eV/f.u.) = 2.7
- total moment (μB/cell) = 0.00

# 4
The following is a SCAN calculation of YZr2Os at its PBEsol-relaxed geometry, from Alexandria.

Cell lengths 3.3277, 5.0300, 5.9174 Å; angles 115.15, 106.33, 90.00 degrees
Positions (direct):
Zr  0.7902  0.7902  0.5803
Zr  0.2098  0.2098  0.4197
Os  0.5000  0.0000  0.0000
Y  0.0000  0.5000  0.0000

Summary:
- total energy (eV per formula unit) = -162.43
- symmetry = Immm
- crystal system = orthorhombic
- D(E_F) (states/eV/f.u.) = 2.5
- relative energy among the computed polymorphs (eV per atom) = 0.000
- DFT formation energy (meV per atom) = -327
- total moment (μB/cell) = 0.00

# 5
The following is a SCAN calculation of Re2OsRh at its PBEsol-relaxed geometry, from Alexandria.

Cell lengths 2.7071, 2.7071, 7.7004 Å; angles 90.00, 90.00, 90.00 degrees
Positions (direct):
Re  0.0000  0.0000  0.2509
Re  0.0000  0.0000  0.7491
Os  0.5000  0.5000  0.5000
Rh  0.5000  0.5000  0.0000

Summary:
- total energy (eV per formula unit) = -247.98
- symmetry = P4/mmm
- crystal system = tetragonal
- D(E_F) (states/eV/f.u.) = 2.9
- relative energy among the computed polymorphs (eV per atom) = 0.135
- DFT formation energy (meV per atom) = -33
- total moment (μB/cell) = 0.00

# 6
The following is a SCAN calculation of MnOF at its PBEsol-relaxed geometry, from Alexandria.

Cell lengths 2.9720, 4.7162, 4.7162 Å; angles 98.54, 90.00, 90.00 degrees
Each line ends with the local moment (μB).
Positions (direct):
O  0.5000  0.8026  0.8026  0.03
O  0.5000  0.1974  0.1974  0.03
Mn  0.5000  0.5000  0.5000  3.79
Mn  0.0000  0.0000  0.0000  3.75
F  0.0000  0.6925  0.3075  0.09
F  0.0000  0.3075  0.6925  0.09

Summary:
- total energy (eV per formula unit) = -35.45
- symmetry = Cmmm
- crystal system = orthorhombic
- D(E_F) (states/eV/f.u.) = 0.3
- total moment (μB/cell) = 8.00

# 7
The following is a SCAN calculation of BaZr3Re at its PBEsol-relaxed geometry, from Alexandria.

Cell lengths 5.0800, 5.0800, 5.0800 Å; angles 90.00, 90.00, 90.00 degrees
Each line ends with the local moment (μB).
Positions (direct):
Ba  0.0000  0.0000  0.0000  0.07
Re  0.5000  0.5000  0.5000  -1.71
Zr  0.5000  0.0000  0.0000  0.31
Zr  0.0000  0.5000  0.0000  0.31
Zr  0.0000  0.0000  0.5000  0.31

Summary:
- total energy (eV per formula unit) = -190.21
- symmetry = Pm-3m
- crystal system = cubic
- D(E_F) (states/eV/f.u.) = 6.1
- relative energy among the computed polymorphs (eV per atom) = 2.173
- DFT formation energy (meV per atom) = 2508
- total moment (μB/cell) = 0.59

# 8
The following is a SCAN calculation of YTaBePt2 at its PBEsol-relaxed geometry, from Alexandria.

Cell lengths 4.8014, 4.8014, 5.2690 Å; angles 90.00, 90.00, 90.00 degrees
Positions (direct):
Y  0.0000  0.0000  0.5000
Pt  0.5000  0.0000  0.0000
Pt  0.0000  0.5000  0.0000
Ta  0.0000  0.0000  0.0000
Be  0.5000  0.5000  0.5000

Summary:
- total energy (eV per formula unit) = -234.20
- symmetry = P4/mmm
- crystal system = tetragonal
- D(E_F) (states/eV/f.u.) = 3.7
- DFT formation energy (meV per atom) = 993
- total moment (μB/cell) = 0.00